Record 1
Material: LiYb2Hg
Method: DFT, PBE
State: optimized geometry

Values from the calculation:
space-group type	Fm-3m
crystal system	cubic

Unit cell a=7.5430 b=7.5430 c=7.5430 alpha=90.00 beta=90.00 gamma=90.00
Fractional positions:
1 Li 0.0000 0.0000 0.0000
2 Li 0.0000 0.5000 0.5000
3 Li 0.5000 0.0000 0.5000
4 Li 0.5000 0.5000 0.0000
5 Yb 0.2500 0.2500 0.2500
6 Yb 0.2500 0.2500 0.7500
7 Yb 0.2500 0.7500 0.2500
8 Yb 0.2500 0.7500 0.7500
9 Yb 0.7500 0.2500 0.2500
10 Yb 0.7500 0.2500 0.7500
11 Yb 0.7500 0.7500 0.2500
12 Yb 0.7500 0.7500 0.7500
13 Hg 0.0000 0.0000 0.5000
14 Hg 0.0000 0.5000 0.0000
15 Hg 0.5000 0.0000 0.0000
16 Hg 0.5000 0.5000 0.5000

---

Record 2
Material: SrScTiZn2
Method: DFT, PBE
State: optimized geometry

Values from the calculation:
space-group type	P4/mmm
crystal system	tetragonal

Unit cell a=5.1182 b=5.1182 c=5.6124 alpha=90.00 beta=90.00 gamma=90.00
Fractional positions:
1 Sr 0.0000 0.0000 0.0000
2 Sc 0.0000 0.0000 0.5000
3 Ti 0.5000 0.5000 0.0000
4 Zn 0.0000 0.5000 0.5000
5 Zn 0.5000 0.0000 0.5000

---

Record 3
Material: YMg2Co
Method: DFT, PBE
State: optimized geometry

Values from the calculation:
space-group type	P4/mmm
crystal system	tetragonal

Unit cell a=4.0355 b=4.0355 c=4.9923 alpha=90.00 beta=90.00 gamma=90.00
Fractional positions:
1 Y 0.0000 0.0000 0.0000
2 Mg 0.0000 0.5000 0.5000
3 Mg 0.5000 0.0000 0.5000
4 Co 0.5000 0.5000 0.0000

---

Record 4
Material: AcPt2Pb
Method: DFT, PBE
State: optimized geometry

Values from the calculation:
space-group type	R-3m
crystal system	trigonal

Unit cell a=4.8163 b=4.8163 c=14.9281 alpha=90.00 beta=90.00 gamma=120.00
Fractional positions:
1 Ac 0.0000 0.0000 0.0000
2 Ac 0.3333 0.6667 0.6667
3 Ac 0.6667 0.3333 0.3333
4 Pt 0.0000 0.0000 0.2159
5 Pt 0.0000 0.0000 0.7841
6 Pt 0.3333 0.6667 0.4507
7 Pt 0.3333 0.6667 0.8826
8 Pt 0.6667 0.3333 0.1174
9 Pt 0.6667 0.3333 0.5493
10 Pb 0.0000 0.0000 0.5000
11 Pb 0.3333 0.6667 0.1667
12 Pb 0.6667 0.3333 0.8333

---

Going through the records in order, we get energy of formation values of -316.9, 1079.9, 91.5, -682.3 meV/atom.
Going through the records in order, we get Fermi-level density of states values of 18.1, 5.7, 3.9, 8.5 states/eV per cell.